Entry 1:
First-principles (GGA-PBEsol) data for a relaxed RbHgW2Br crystal, as listed in Alexandria.

As for the formation energy without anion corrections: 3352 meV per atom. Its density of states at the Fermi level is 10.5 states/eV per cell. The calculated volume is 234.7 Å³/cell. Its density is 5.19 g/cm3. The value obtained for the energy is -2.863 eV/atom. Its symmetry is P4/mmm.

Cell: 6.1285 6.1889 6.1889 Å, 90.00 90.00 90.00°
Closest atoms and distances in Å follow each position.
Fractional positions:
Br (0.5000, 0.5000, 0.5000)  8 W 4.35, 4 Hg 4.38
W (0.0000, 0.0000, 0.5000)  2 Rb 3.09
W (0.0000, 0.5000, 0.0000)  2 Rb 3.09
Rb (0.0000, 0.0000, 0.0000)  2 Hg 3.06, 4 W 3.09
Hg (0.5000, 0.0000, 0.0000)  2 Rb 3.06


Entry 2:
First-principles (GGA-PBEsol) data for a relaxed RbZnHg2Br crystal, as listed in Alexandria.

As for the formation energy without anion corrections: -11 meV per atom. Its density of states at the Fermi level is 0.0 states/eV per cell. The calculated volume is 306.6 Å³/cell. Its density is 3.42 g/cm3. The value obtained for the energy is -1.133 eV/atom. Its symmetry is P4/mmm.

Cell: 6.1524 7.0590 7.0590 Å, 90.00 90.00 90.00°
Closest atoms and distances in Å follow each position.
Fractional positions:
Zn (0.5000, 0.5000, 0.5000)  8 Hg 4.68, 4 Br 4.99
Rb (0.0000, 0.0000, 0.0000)  2 Br 3.08
Hg (0.0000, 0.0000, 0.5000)  2 Rb 3.53
Hg (0.0000, 0.5000, 0.0000)  2 Rb 3.53
Br (0.5000, 0.0000, 0.0000)  2 Rb 3.08


Entry 3:
First-principles (GGA-PBEsol) data for a relaxed Re2HgBr crystal, as listed in Alexandria.

As for the formation energy without anion corrections: 1545 meV per atom. Its density of states at the Fermi level is 4.4 states/eV per cell. The calculated volume is 66.7 Å³/cell. Its density is 16.25 g/cm3. The value obtained for the energy above the most stable polymorph in this dataset is 0.428 eV/atom. The value obtained for the energy is -5.730 eV/atom. Its symmetry is Cmmm.

Cell: 2.8450 4.9106 4.9106 Å, 103.47 90.00 90.00°
Closest atoms and distances in Å follow each position.
Fractional positions:
Br (0.5000, 0.0000, 0.0000)  8 Re 2.84, 2 Br 2.85, 2 Hg 3.04
Hg (0.5000, 0.5000, 0.5000)  8 Re 2.84, 2 Hg 2.85, 2 Br 3.04
Re (0.0000, 0.0000, 0.5000)  4 Hg 2.84, 4 Br 2.84, 4 Re 2.85-3.04
Re (0.0000, 0.5000, 0.0000)  4 Br 2.84, 4 Hg 2.84, 4 Re 2.85-3.04


Entry 4:
First-principles (GGA-PBEsol) data for a relaxed Re2HgBr crystal, as listed in Alexandria.

As for the formation energy without anion corrections: 1496 meV per atom. Its density of states at the Fermi level is 3.7 states/eV per cell. The calculated volume is 65.4 Å³/cell. Its density is 16.58 g/cm3. The value obtained for the energy above the most stable polymorph in this dataset is 0.379 eV/atom. The value obtained for the energy is -5.779 eV/atom. Its symmetry is P4/mmm.

Cell: 4.5716 4.5716 3.1281 Å, 90.00 90.00 90.00°
Closest atoms and distances in Å follow each position.
Fractional positions:
Br (0.5000, 0.5000, 0.5000)  8 Re 2.77
Re (0.0000, 0.5000, 0.0000)  4 Hg 2.77, 4 Br 2.77
Re (0.5000, 0.0000, 0.0000)  4 Hg 2.77, 4 Br 2.77
Hg (0.0000, 0.0000, 0.5000)  8 Re 2.77


Entry 5:
First-principles (GGA-PBEsol) data for a relaxed ReHgBr crystal, as listed in Alexandria.

As for the formation energy without anion corrections: 1395 meV per atom. Its density of states at the Fermi level is 4.0 states/eV per cell. The calculated volume is 63.0 Å³/cell. Its density is 12.29 g/cm3. The value obtained for the energy is -3.862 eV/atom. Its symmetry is F-43m.

Cell: 4.4674 4.4674 4.4674 Å, 60.00 60.00 60.00°
Closest atoms and distances in Å follow each position.
Fractional positions:
Hg (0.5000, 0.5000, 0.5000)  4 Re 2.74
Re (0.2500, 0.2500, 0.2500)  4 Hg 2.74, 4 Br 2.74
Br (0.0000, 0.0000, 0.0000)  4 Re 2.74


Entry 6:
First-principles (GGA-PBEsol) data for a relaxed ReHg2Br crystal, as listed in Alexandria.

As for the formation energy without anion corrections: 1133 meV per atom. Its density of states at the Fermi level is 2.4 states/eV per cell. The calculated volume is 79.3 Å³/cell. Its density is 13.98 g/cm3. The value obtained for the energy above the most stable polymorph in this dataset is 0.351 eV/atom. The value obtained for the energy is -2.951 eV/atom. Its symmetry is I-4m2.

Cell: 4.2644 4.2644 5.3004 Å, 113.72 113.72 90.00°
Closest atoms and distances in Å follow each position.
Fractional positions:
Re (0.5000, 0.5000, 0.0000)  8 Hg 3.02-3.05, 4 Br 3.05
Hg (0.0000, 0.0000, 0.0000)  4 Re 3.02, 4 Hg 3.05, 4 Br 3.05
Hg (0.7500, 0.2500, 0.5000)  4 Br 3.02, 4 Hg 3.05, 4 Re 3.05
Br (0.2500, 0.7500, 0.5000)  8 Hg 3.02-3.05, 4 Re 3.05


Entry 7:
First-principles (GGA-PBEsol) data for a relaxed ReHg2Br crystal, as listed in Alexandria.

As for the formation energy without anion corrections: 1200 meV per atom. Its density of states at the Fermi level is 1.7 states/eV per cell. The calculated volume is 78.9 Å³/cell. Its density is 14.04 g/cm3. The value obtained for the energy above the most stable polymorph in this dataset is 0.419 eV/atom. The value obtained for the energy is -2.883 eV/atom. Its symmetry is F-43m.

Cell: 4.8142 4.8142 4.8142 Å, 60.00 60.00 60.00°
Closest atoms and distances in Å follow each position.
Fractional positions:
Re (0.2500, 0.2500, 0.2500)  4 Br 2.95, 4 Hg 2.95
Hg (0.0000, 0.0000, 0.0000)  4 Re 2.95, 4 Hg 2.95
Hg (0.7500, 0.7500, 0.7500)  4 Hg 2.95, 4 Br 2.95
Br (0.5000, 0.5000, 0.5000)  4 Hg 2.95, 4 Re 2.95


Entry 8:
First-principles (GGA-PBEsol) data for a relaxed Re2HgBr crystal, as listed in Alexandria.

As for the formation energy without anion corrections: 1117 meV per atom. Its density of states at the Fermi level is 2.8 states/eV per cell. The calculated volume is 87.0 Å³/cell. Its density is 12.46 g/cm3. The value obtained for the energy above the most stable polymorph in this dataset is 0.000 eV/atom. The value obtained for the energy is -6.158 eV/atom. Its symmetry is P2/m.

Cell: 3.6420 4.7553 5.0568 Å, 90.00 96.50 90.00°
Closest atoms and distances in Å follow each position.
Fractional positions:
Br (0.5000, 0.5000, 0.5000)  4 Hg 2.94-3.28, 4 Re 2.99
Re (0.7013, 0.0000, 0.8465)  1 Re 2.25
Re (0.2987, 0.0000, 0.1535)  1 Re 2.25
Hg (0.0000, 0.5000, 0.0000)  4 Re 2.69, 2 Br 2.94


Entry 9:
First-principles (GGA-PBEsol) data for a relaxed ReHg2Br crystal, as listed in Alexandria.

As for the formation energy without anion corrections: 782 meV per atom. Its density of states at the Fermi level is 4.1 states/eV per cell. The calculated volume is 84.7 Å³/cell. Its density is 13.08 g/cm3. The value obtained for the energy above the most stable polymorph in this dataset is 0.000 eV/atom. The value obtained for the energy is -3.302 eV/atom. Its symmetry is P4/mmm.

Cell: 2.8663 2.8663 10.3092 Å, 90.00 90.00 90.00°
Closest atoms and distances in Å follow each position.
Fractional positions:
Hg (0.0000, 0.0000, 0.2020)  4 Hg 2.87, 4 Re 2.91
Hg (0.0000, 0.0000, 0.7980)  4 Hg 2.87, 4 Re 2.91
Re (0.5000, 0.5000, 0.0000)  4 Re 2.87, 8 Hg 2.91
Br (0.5000, 0.5000, 0.5000)  4 Br 2.87


Entry 10:
First-principles (GGA-PBEsol) data for a relaxed ReHgSeBr2 crystal, as listed in Alexandria.

As for the formation energy without anion corrections: 314 meV per atom. Its density of states at the Fermi level is 3.9 states/eV per cell. The calculated volume is 125.1 Å³/cell. Its density is 8.31 g/cm3. The value obtained for the energy is -3.984 eV/atom. Its symmetry is P4/mmm.

Cell: 4.6944 5.1616 5.1616 Å, 90.00 90.00 90.00°
Closest atoms and distances in Å follow each position.
Fractional positions:
Br (0.0000, 0.0000, 0.5000)  2 Re 2.58
Br (0.0000, 0.5000, 0.0000)  2 Re 2.58
Hg (0.5000, 0.5000, 0.5000)  8 Br 3.49, 4 Se 3.65
Se (0.5000, 0.0000, 0.0000)  2 Re 2.35
Re (0.0000, 0.0000, 0.0000)  2 Se 2.35, 4 Br 2.58


Entry 11:
First-principles (GGA-PBEsol) data for a relaxed Hg2RhBr crystal, as listed in Alexandria.

As for the formation energy without anion corrections: 234 meV per atom. Its density of states at the Fermi level is 2.4 states/eV per cell. The calculated volume is 84.5 Å³/cell. Its density is 11.48 g/cm3. The value obtained for the energy above the most stable polymorph in this dataset is 0.000 eV/atom. The value obtained for the energy is -2.552 eV/atom. Its symmetry is Cmm2.

Cell: 3.2501 3.2501 8.9818 Å, 90.00 90.00 117.08°
Closest atoms and distances in Å follow each position.
Fractional positions:
Rh (0.0000, 0.0000, 0.4894)  2 Br 2.42, 2 Hg 2.68
Hg (0.5000, 0.5000, 0.7201)  2 Rh 2.68, 2 Hg 2.99
Hg (0.0000, 0.0000, 0.9941)  6 Hg 2.99-3.25, 2 Br 3.20
Br (0.5000, 0.5000, 0.2965)  2 Rh 2.42


Entry 12:
First-principles (GGA-PBEsol) data for a relaxed HgRhBr2 crystal, as listed in Alexandria.

As for the formation energy without anion corrections: 292 meV per atom. Its density of states at the Fermi level is 3.9 states/eV per cell. The calculated volume is 91.1 Å³/cell. Its density is 8.44 g/cm3. The value obtained for the energy is -2.819 eV/atom. Its symmetry is P4/mmm.

Cell: 3.1798 3.1798 9.0125 Å, 90.00 90.00 90.00°
Closest atoms and distances in Å follow each position.
Fractional positions:
Rh (0.5000, 0.5000, 0.5000)  8 Br 2.73
Br (0.0000, 0.0000, 0.3276)  4 Rh 2.73
Br (0.0000, 0.0000, 0.6724)  4 Rh 2.73
Hg (0.5000, 0.5000, 0.0000)  4 Hg 3.18


Entry 13:
First-principles (GGA-PBEsol) data for a relaxed Hg2RhBr crystal, as listed in Alexandria.

As for the formation energy without anion corrections: 352 meV per atom. Its density of states at the Fermi level is 3.3 states/eV per cell. The calculated volume is 78.3 Å³/cell. Its density is 12.39 g/cm3. The value obtained for the energy above the most stable polymorph in this dataset is 0.118 eV/atom. The value obtained for the energy is -2.434 eV/atom. Its symmetry is P4/mmm.

Cell: 3.3730 4.8166 4.8166 Å, 90.00 90.00 90.00°
Closest atoms and distances in Å follow each position.
Fractional positions:
Br (0.5000, 0.0000, 0.0000)  8 Hg 2.94
Hg (0.0000, 0.5000, 0.0000)  4 Br 2.94, 4 Rh 2.94
Hg (0.0000, 0.0000, 0.5000)  4 Br 2.94, 4 Rh 2.94
Rh (0.5000, 0.5000, 0.5000)  8 Hg 2.94


Entry 14:
First-principles (GGA-PBEsol) data for a relaxed TiHgRh2Br crystal, as listed in Alexandria.

As for the formation energy without anion corrections: 609 meV per atom. Its density of states at the Fermi level is 5.7 states/eV per cell. The calculated volume is 94.3 Å³/cell. Its density is 9.41 g/cm3. The value obtained for the energy is -4.798 eV/atom. Its symmetry is P4/mmm.

Cell: 4.5292 4.5629 4.5629 Å, 90.00 90.00 90.00°
Closest atoms and distances in Å follow each position.
Fractional positions:
Rh (0.0000, 0.5000, 0.0000)  2 Br 2.28
Rh (0.0000, 0.0000, 0.5000)  2 Br 2.28
Ti (0.5000, 0.0000, 0.0000)  2 Br 2.26
Hg (0.5000, 0.5000, 0.5000)  8 Rh 3.21, 4 Ti 3.23
Br (0.0000, 0.0000, 0.0000)  2 Ti 2.26, 4 Rh 2.28


Entry 15:
First-principles (GGA-PBEsol) data for a relaxed Hg2RuBr crystal, as listed in Alexandria.

As for the formation energy without anion corrections: 419 meV per atom. Its density of states at the Fermi level is 2.3 states/eV per cell. The calculated volume is 82.8 Å³/cell. Its density is 11.68 g/cm3. The value obtained for the energy above the most stable polymorph in this dataset is 0.000 eV/atom. The value obtained for the energy is -2.875 eV/atom. Its symmetry is Cmm2.

Cell: 2.9766 3.1240 10.1239 Å, 90.00 90.00 118.45°
Closest atoms and distances in Å follow each position.
Fractional positions:
Hg (0.5000, 0.0000, 0.2816)  2 Ru 2.75, 2 Hg 2.98
Hg (0.0000, 0.0000, 0.0101)  8 Hg 2.98-3.13
Ru (0.0000, 0.0000, 0.5100)  2 Br 2.42
Br (0.5000, 0.0000, 0.6983)  2 Ru 2.42


Entry 16:
First-principles (GGA-PBEsol) data for a relaxed HgRuBr crystal, as listed in Alexandria.

As for the formation energy without anion corrections: 1357 meV per atom. Its density of states at the Fermi level is 4.6 states/eV per cell. The calculated volume is 72.3 Å³/cell. Its density is 8.76 g/cm3. The value obtained for the energy above the most stable polymorph in this dataset is 0.772 eV/atom. The value obtained for the energy is -2.846 eV/atom. Its symmetry is F-43m.

Cell: 4.6760 4.6760 4.6760 Å, 60.00 60.00 60.00°
Closest atoms and distances in Å follow each position.
Fractional positions:
Hg (0.2500, 0.2500, 0.2500)  4 Br 2.86, 4 Ru 2.86
Ru (0.0000, 0.0000, 0.0000)  4 Hg 2.86
Br (0.5000, 0.5000, 0.5000)  4 Hg 2.86


Entry 17:
First-principles (GGA-PBEsol) data for a relaxed HgRu2Br crystal, as listed in Alexandria.

As for the formation energy without anion corrections: 978 meV per atom. Its density of states at the Fermi level is 5.6 states/eV per cell. The calculated volume is 67.9 Å³/cell. Its density is 11.81 g/cm3. The value obtained for the energy above the most stable polymorph in this dataset is 0.000 eV/atom. The value obtained for the energy is -4.718 eV/atom. Its symmetry is Pmmm.

Cell: 2.9121 4.5575 5.1132 Å, 90.00 90.00 90.00°
Closest atoms and distances in Å follow each position.
Fractional positions:
Ru (0.0000, 0.0000, 0.0000)  4 Br 2.70, 6 Ru 2.91-2.94
Ru (0.5000, 0.0000, 0.5000)  4 Hg 2.70, 6 Ru 2.91-2.94
Hg (0.0000, 0.5000, 0.5000)  4 Ru 2.70, 2 Hg 2.91, 4 Br 2.94
Br (0.5000, 0.5000, 0.0000)  4 Ru 2.70, 2 Br 2.91, 4 Hg 2.94


Entry 18:
First-principles (GGA-PBEsol) data for a relaxed HgRuBr3 crystal, as listed in Alexandria.

As for the formation energy without anion corrections: 938 meV per atom. Its density of states at the Fermi level is 5.5 states/eV per cell. The calculated volume is 156.1 Å³/cell. Its density is 5.76 g/cm3. The value obtained for the energy is -2.332 eV/atom. Its symmetry is Pm-3m.

Cell: 5.3846 5.3846 5.3846 Å, 90.00 90.00 90.00°
Closest atoms and distances in Å follow each position.
Fractional positions:
Br (0.5000, 0.0000, 0.0000)  2 Hg 2.69
Br (0.0000, 0.0000, 0.5000)  2 Hg 2.69
Br (0.0000, 0.5000, 0.0000)  2 Hg 2.69
Ru (0.5000, 0.5000, 0.5000)  12 Br 3.81
Hg (0.0000, 0.0000, 0.0000)  6 Br 2.69


Entry 19:
First-principles (GGA-PBEsol) data for a relaxed Hg2RuBr crystal, as listed in Alexandria.

As for the formation energy without anion corrections: 873 meV per atom. Its density of states at the Fermi level is 2.5 states/eV per cell. The calculated volume is 79.8 Å³/cell. Its density is 12.12 g/cm3. The value obtained for the energy above the most stable polymorph in this dataset is 0.454 eV/atom. The value obtained for the energy is -2.421 eV/atom. Its symmetry is Fm-3m.

Cell: 4.8316 4.8316 4.8316 Å, 60.00 60.00 60.00°
Closest atoms and distances in Å follow each position.
Fractional positions:
Hg (0.7500, 0.7500, 0.7500)  4 Br 2.96, 4 Ru 2.96
Hg (0.2500, 0.2500, 0.2500)  4 Br 2.96, 4 Ru 2.96
Br (0.0000, 0.0000, 0.0000)  8 Hg 2.96
Ru (0.5000, 0.5000, 0.5000)  8 Hg 2.96


Entry 20:
First-principles (GGA-PBEsol) data for a relaxed HgRu3Br crystal, as listed in Alexandria.

As for the formation energy without anion corrections: 1480 meV per atom. Its density of states at the Fermi level is 6.9 states/eV per cell. The calculated volume is 90.3 Å³/cell. Its density is 10.73 g/cm3. The value obtained for the energy is -5.110 eV/atom. Its symmetry is Pm-3m.

Cell: 4.4872 4.4872 4.4872 Å, 90.00 90.00 90.00°
Closest atoms and distances in Å follow each position.
Fractional positions:
Hg (0.5000, 0.5000, 0.5000)  12 Ru 3.17
Ru (0.0000, 0.0000, 0.5000)  2 Br 2.24
Ru (0.5000, 0.0000, 0.0000)  2 Br 2.24
Ru (0.0000, 0.5000, 0.0000)  2 Br 2.24
Br (0.0000, 0.0000, 0.0000)  6 Ru 2.24